(1)
VASP calculation (PBE-GGA) on a geometry-optimized Cs6Au5I structure.

Formation energy without anion corrections = -0.52 eV/atom
Uncorrected energy = -2.44 eV per atom

abc: 9.1678 9.1618 9.1574
angles: 59.98 80.39 70.51
Last column: nearest neighbours and their distance in Å.
Element x y z (fractional)
Cs 0.7449 0.0851 0.3419  5 Au 3.68-3.75, 1 I 3.83
Cs 0.2551 0.5730 0.3419  5 Au 3.68-3.75, 1 I 3.83
Cs 0.2547 0.2571 0.0000  5 Au 3.65-3.74, 1 I 3.83
Cs 0.7453 0.7429 0.0000  5 Au 3.65-3.74, 1 I 3.83
Cs 0.7449 0.4270 0.6581  5 Au 3.68-3.75, 1 I 3.83
Cs 0.2551 0.9149 0.6581  5 Au 3.68-3.75, 1 I 3.83
I 0.0000 0.0000 0.0000  6 Cs 3.83
Au 0.5000 0.1640 0.6720  6 Cs 3.68-3.75
Au 0.0000 0.3327 0.3345  6 Cs 3.73-3.74
Au 0.5000 0.5000 0.0000  6 Cs 3.65-3.75
Au 0.0000 0.6673 0.6655  6 Cs 3.73-3.74
Au 0.5000 0.8360 0.3280  6 Cs 3.68-3.75

(2)
VASP calculation (PBE-GGA) on a geometry-optimized CsAuI3 structure.

Formation energy without anion corrections = -0.63 eV/atom
Uncorrected energy = -2.39 eV per atom

abc: 5.8483 10.2844 8.0483
angles: 90.00 90.02 90.00
Last column: nearest neighbours and their distance in Å.
Element x y z (fractional)
Cs 0.2468 0.2500 0.7564  4 I 3.86, 2 Au 3.99-4.06
Cs 0.7532 0.7500 0.2436  4 I 3.86, 2 Au 3.99-4.06
Au 0.2532 0.2500 0.2523  4 I 2.63-2.93
Au 0.7468 0.7500 0.7477  4 I 2.63-2.93
I 0.2529 0.9944 0.2530  1 Au 2.63
I 0.7471 0.0056 0.7470  1 Au 2.63
I 0.7471 0.4944 0.7470  1 Au 2.63
I 0.2529 0.5056 0.2530  1 Au 2.63
I 0.7530 0.2500 0.2509  2 Au 2.92-2.93
I 0.2470 0.7500 0.7491  2 Au 2.92-2.93

(3)
VASP calculation (PBE-GGA) on a geometry-optimized Cs3Au2I9 structure.

Formation energy without anion corrections = -0.67 eV/atom
Uncorrected energy = -2.31 eV per atom

abc: 8.2195 8.2195 10.1351
angles: 90.00 90.00 120.00
Last column: nearest neighbours and their distance in Å.
Element x y z (fractional)
Cs 0.6667 0.3333 0.6560  12 I 4.12-4.22
Cs 0.0000 0.0000 0.0000  12 I 4.04-4.11
Cs 0.3333 0.6667 0.3440  12 I 4.12-4.22
Au 0.6667 0.3333 0.1702  6 I 2.82-2.93
Au 0.3333 0.6667 0.8298  6 I 2.82-2.93
I 0.1674 0.8326 0.6779  1 Au 2.82
I 0.1674 0.3348 0.6779  1 Au 2.82
I 0.5000 0.5000 0.0000  2 Au 2.93
I 0.8326 0.6652 0.3221  1 Au 2.82
I 0.3348 0.1674 0.3221  1 Au 2.82
I 0.6652 0.8326 0.6779  1 Au 2.82
I 0.8326 0.1674 0.3221  1 Au 2.82
I 0.0000 0.5000 0.0000  2 Au 2.93
I 0.5000 0.0000 0.0000  2 Au 2.93

Calculated volume values, unit Å³/cell, following the record order: 628, 484, 593.